# 1
PBE-GGA CaHf2ReP, relaxed; symmetry = P4/mmm; DFT formation energy = 2.21 eV/atom
1.0
4.893 0.000 0.000
0.000 4.893 0.000
0.000 0.000 4.640
Ca Hf Re P
1 2 1 1
Cartesian
0.000 0.000 0.000
0.000 2.446 0.000
2.446 0.000 0.000
2.446 2.446 2.320
0.000 0.000 2.320

# 2
PBE-GGA CaHfP2Rh5, relaxed; symmetry = P4/mmm; DFT formation energy = -0.72 eV/atom
1.0
4.050 0.000 0.000
0.000 4.050 0.000
0.000 0.000 10.239
Ca Hf P Rh
1 1 2 5
Cartesian
0.000 0.000 0.000
0.000 0.000 5.119
2.025 2.025 2.253
2.025 2.025 7.985
0.000 2.025 3.310
0.000 2.025 6.928
2.025 0.000 3.310
2.025 0.000 6.928
2.025 2.025 0.000

# 3
PBE-GGA CaHfPRh2, relaxed; symmetry = P4/mmm; DFT formation energy = -0.29 eV/atom
1.0
4.553 0.000 0.000
0.000 4.553 0.000
0.000 0.000 4.780
Ca Hf P Rh
1 1 1 2
Cartesian
0.000 0.000 0.000
2.276 2.276 0.000
2.276 2.276 2.390
0.000 2.276 2.390
2.276 0.000 2.390

What did the third record say?
PBE-GGA CaHfPRh2, relaxed; symmetry = P4/mmm; DFT formation energy = -0.29 eV/atom
1.0
4.553 0.000 0.000
0.000 4.553 0.000
0.000 0.000 4.780
Ca Hf P Rh
1 1 1 2
Cartesian
0.000 0.000 0.000
2.276 2.276 0.000
2.276 2.276 2.390
0.000 2.276 2.390
2.276 0.000 2.390

Repeat the second record exactly.
PBE-GGA CaHfP2Rh5, relaxed; symmetry = P4/mmm; DFT formation energy = -0.72 eV/atom
1.0
4.050 0.000 0.000
0.000 4.050 0.000
0.000 0.000 10.239
Ca Hf P Rh
1 1 2 5
Cartesian
0.000 0.000 0.000
0.000 0.000 5.119
2.025 2.025 2.253
2.025 2.025 7.985
0.000 2.025 3.310
0.000 2.025 6.928
2.025 0.000 3.310
2.025 0.000 6.928
2.025 2.025 0.000

- Look up the DFT formation energy of the second one.
  -0.72 eV/atom